! AcCePb4 (PBE, relaxed); values from VASP
! ρ	9.97	g/cm³
! formation enthalpy at 0 K	-0.206	eV/atom
! raw total energy	-26.11	eV for the cell shown
! SG	F-43m, No. 216
&SYSTEM
  ibrav = 0, nat = 6, ntyp = 3
/
ATOMIC_SPECIES
Pb 207.20 Pb.upf
Ac 227.00 Ac.upf
Ce 140.12 Ce.upf
ATOMIC_POSITIONS angstrom
Pb 6.556 3.785 0.664
Pb 6.556 1.888 3.347
Pb 8.199 4.734 3.347
Pb 4.913 4.734 3.347
Ac 3.278 1.893 1.338
Ce 0.000 0.000 0.000
CELL_PARAMETERS angstrom
6.556 0.000 0.000
3.278 5.678 0.000
3.278 1.893 5.353